No. 1
First-principles (PBE-GGA) data for an optimized crystal structure of Ce4SnSbTe2, as listed in the Alexandria database.

Summary:
As for the symmetry: P2/m. Its total energy is -46.91 eV per cell.

abc: 7.7511 4.5268 7.8364
angles: 90.00 109.73 90.00
Atoms (fractional coordinates):
Ce 0.2454 0.0000 0.2481
Ce 0.2453 0.5000 0.7489
Ce 0.7546 0.0000 0.7519
Ce 0.7547 0.5000 0.2511
Sn 0.0000 0.5000 0.0000
Sb 0.0000 0.0000 0.5000
Te 0.5000 0.0000 0.0000
Te 0.5000 0.5000 0.5000

---

No. 2
First-principles (PBE-GGA) data for an optimized crystal structure of ZrGa2F, as listed in the Alexandria database.

Summary:
The value obtained for the energy above the most stable polymorph in this dataset is 0 meV/atom. As for the symmetry: I-42d.

abc: 8.0846 8.0846 4.4274
angles: 90.00 90.00 90.00
Atoms (fractional coordinates):
Zr 0.0000 0.0000 0.0000
Zr 0.0000 0.5000 0.2500
Zr 0.5000 0.0000 0.7500
Zr 0.5000 0.5000 0.5000
Ga 0.1812 0.2500 0.6250
Ga 0.2500 0.6812 0.8750
Ga 0.2500 0.8188 0.3750
Ga 0.3188 0.2500 0.1250
Ga 0.6812 0.7500 0.1250
Ga 0.7500 0.1812 0.3750
Ga 0.7500 0.3188 0.8750
Ga 0.8188 0.7500 0.6250
F 0.0000 0.0000 0.5000
F 0.0000 0.5000 0.7500
F 0.5000 0.0000 0.2500
F 0.5000 0.5000 0.0000